An optimized crystal structure of BaPuAg2O8. Source: the Alexandria database, functional PBE.

Crystal system: tetragonal
Density in g/cm³: 5.89
Uncorrected formation energy in eV/atom: -1.02

abc: 7.423 7.423 7.416
angles: 90.00 90.00 90.00
Space group I-4m2 (No. 119)
Symmetry-distinct sites (fractional):
Ba1 0.000 0.000 0.000
Pu1 0.000 0.500 0.750
Ag1 0.000 0.000 0.500
Ag2 0.000 0.500 0.250
O1 0.000 0.242 0.708
O2 0.000 0.346 0.034


An optimized crystal structure of Ba3PuAg2O8. Source: the Alexandria database, functional PBE.

Crystal system: trigonal
Density in g/cm³: 6.49
Uncorrected formation energy in eV/atom: -1.86

abc: 5.9603 5.9603 8.3110
angles: 90.00 90.00 120.00
Space group P-3m1 (No. 164)
Symmetry-distinct sites (fractional):
Ba1 0.0000 0.0000 0.0000
Ba2 0.3333 0.6667 0.6382
Pu1 0.0000 0.0000 0.5000
Ag1 0.3333 0.6667 0.1787
O1 0.1587 0.3174 0.3583
O2 0.3333 0.6667 0.9343


An optimized crystal structure of Ba3Pu2AgO9. Source: the Alexandria database, functional PBE.

Crystal system: trigonal
Density in g/cm³: 7.63
Uncorrected formation energy in eV/atom: -2.52

abc: 6.1600 6.1600 7.6316
angles: 90.00 90.00 120.00
Space group P-3m1 (No. 164)
Symmetry-distinct sites (fractional):
Ba1 0.0000 0.0000 0.0000
Ba2 0.3333 0.6667 0.6409
Pu1 0.3333 0.6667 0.1617
Ag1 0.0000 0.0000 0.5000
O1 0.0000 0.5000 0.0000
O2 0.1780 0.3559 0.3180


An optimized crystal structure of BaPuAg2O6. Source: the Alexandria database, functional PBE.

Crystal system: monoclinic
Density in g/cm³: 7.32
Uncorrected formation energy in eV/atom: -1.64

abc: 7.812 7.845 5.195
angles: 90.00 98.96 90.00
Space group C2/m (No. 12)
Symmetry-distinct sites (fractional):
Ba1 0.000 0.000 0.000
Pu1 0.000 0.500 0.000
Ag1 0.250 0.250 0.500
O1 0.105 0.318 0.817
O2 0.232 0.500 0.303


An optimized crystal structure of Ba3PuAg2O9. Source: the Alexandria database, functional PBE.

Crystal system: trigonal
Density in g/cm³: 7.12
Uncorrected formation energy in eV/atom: -1.90

abc: 6.0354 6.0354 7.5139
angles: 90.00 90.00 120.00
Space group P-3m1 (No. 164)
Symmetry-distinct sites (fractional):
Ba1 0.0000 0.0000 0.0000
Ba2 0.3333 0.6667 0.7037
Pu1 0.0000 0.0000 0.5000
Ag1 0.3333 0.6667 0.1658
O1 0.0000 0.5000 0.0000
O2 0.1570 0.3140 0.3445


An optimized crystal structure of BaPuAgO5. Source: the Alexandria database, functional PBE.

Crystal system: monoclinic
Density in g/cm³: 6.51
Uncorrected formation energy in eV/atom: -2.12

abc: 7.807 10.047 8.273
angles: 90.00 116.43 90.00
Space group C2/c (No. 15)
Symmetry-distinct sites (fractional):
Ba1 0.000 0.071 0.250
Pu1 0.250 0.250 0.000
Ag1 0.000 0.477 0.250
O1 0.000 0.207 0.750
O2 0.091 0.299 0.111
O3 0.220 0.057 0.060


An optimized crystal structure of BaPuAgO6. Source: the Alexandria database, functional PBE.

Crystal system: trigonal
Density in g/cm³: 6.12
Uncorrected formation energy in eV/atom: -1.78

abc: 5.5988 5.5988 11.7021
angles: 90.00 90.00 120.00
Space group P-31c (No. 163)
Symmetry-distinct sites (fractional):
Ba1 0.0000 0.0000 0.0000
Pu1 0.3333 0.6667 0.2500
Ag1 0.3333 0.6667 0.7500
O1 0.0327 0.3864 0.1493


An optimized crystal structure of RbBa2AgO. Source: the Alexandria database, functional PBE.

Crystal system: tetragonal
Density in g/cm³: 4.66
Uncorrected formation energy in eV/atom: -0.89

abc: 5.434 5.434 5.844
angles: 90.00 90.00 90.00
Space group P4/mmm (No. 123)
Symmetry-distinct sites (fractional):
Rb1 0.000 0.000 0.000
Ba1 0.000 0.500 0.500
Ag1 0.500 0.500 0.000
O1 0.000 0.000 0.500


An optimized crystal structure of Ba2ReAgO6. Source: the Alexandria database, functional PBE.

Crystal system: cubic
Density in g/cm³: 7.04
Uncorrected formation energy in eV/atom: -1.93

abc: 8.560 8.560 8.560
angles: 90.00 90.00 90.00
Space group Fm-3m (No. 225)
Symmetry-distinct sites (fractional):
Ba1 0.250 0.250 0.250
Re1 0.000 0.000 0.000
Ag1 0.000 0.000 0.500
O1 0.000 0.000 0.222


An optimized crystal structure of Ba2Ag2RhO6. Source: the Alexandria database, functional PBE.

Crystal system: monoclinic
Density in g/cm³: 5.02
Uncorrected formation energy in eV/atom: -1.15

abc: 6.478 11.302 6.246
angles: 90.00 94.87 90.00
Space group C2/m (No. 12)
Symmetry-distinct sites (fractional):
Ba1 0.000 0.166 0.000
Ag1 0.000 0.372 0.500
Rh1 0.000 0.500 0.000
O1 0.112 0.369 0.820
O2 0.239 0.000 0.832


An optimized crystal structure of Ba5Ag2RhO. Source: the Alexandria database, functional PBE.

Crystal system: orthorhombic
Density in g/cm³: 5.01
Uncorrected formation energy in eV/atom: -0.69

abc: 4.574 20.447 14.469
angles: 90.00 90.00 90.00
Space group Cmc2_1 (No. 36)
Symmetry-distinct sites (fractional):
Ba1 0.000 0.001 0.000
Ba2 0.000 0.155 0.236
Ba3 0.000 0.181 0.611
Ba4 0.000 0.210 0.901
Ba5 0.000 0.454 0.233
Ag1 0.000 0.374 0.550
Ag2 0.000 0.387 0.910
Rh1 0.000 0.298 0.258
O1 0.000 0.055 0.647


An optimized crystal structure of Ba2AgRhO6. Source: the Alexandria database, functional PBE.

Crystal system: monoclinic
Density in g/cm³: 6.40
Uncorrected formation energy in eV/atom: -1.32

abc: 10.551 5.777 5.851
angles: 90.00 122.15 90.00
Space group C2/m (No. 12)
Symmetry-distinct sites (fractional):
Ba1 0.247 0.000 0.238
Ag1 0.000 0.000 0.500
Rh1 0.000 0.500 0.000
O1 0.038 0.257 0.801
O2 0.214 0.500 0.269


Look up the uncorrected formation energy of the sixth one. -2.12 eV/atom


Number 6 is which compound? BaPuAgO5


Look up the uncorrected formation energy of the ninth one. -1.93 eV/atom